Record 1
PmAlZnIn: relaxed, GGA-PBE.

Properties
ρ in g/cm3: 6.609
DFT formation energy in eV per atom: -0.1637

```
PmAlZnIn
1.0
-2.391 3.615 2.496
0.236 0.169 4.994
2.605 3.623 2.259
Zn In Al Pm
1 1 1 1
direct
0.000 0.000 0.000 Zn
0.750 0.750 0.750 In
0.500 0.500 0.500 Al
0.250 0.250 0.250 Pm
```

Record 2
Pr3Al8In: relaxed, GGA-PBE.

Properties
ρ in g/cm3: 4.812
DFT formation energy in eV per atom: -0.3477

```
Pr3Al8In
1.0
5.712 0.000 0.000
2.856 4.947 0.000
2.856 1.649 9.201
Pr Al In
3 8 1
direct
0.374 0.374 0.878 Pr
0.995 0.995 0.015 Pr
0.504 0.504 0.488 Pr
0.943 0.436 0.185 Al
0.435 0.939 0.688 Al
0.436 0.436 0.185 Al
0.939 0.939 0.688 Al
0.189 0.189 0.433 Al
0.687 0.687 0.940 Al
0.436 0.943 0.185 Al
0.939 0.435 0.688 Al
0.874 0.874 0.378 In
```

Record 3
PrAlIn: relaxed, GGA-PBE.

Properties
ρ in g/cm3: 6.193
DFT formation energy in eV per atom: -0.4525

```
PrAlIn
1.0
-0.582 2.443 2.817
-4.695 0.108 -1.065
1.681 -3.231 3.150
Pr Al In
1 1 1
direct
0.667 0.667 0.333 Pr
0.166 0.000 0.000 Al
0.167 0.333 0.667 In
```

Record 4
Pr5Al2In: relaxed, GGA-PBE.

Properties
ρ in g/cm3: 5.855
DFT formation energy in eV per atom: -0.3001

```
Pr5Al2In
1.0
8.115 0.000 0.000
0.000 8.115 0.000
-4.057 -4.057 7.522
Pr Al In
10 4 2
direct
0.525 0.680 0.705 Pr
0.820 0.975 0.295 Pr
0.000 0.000 0.000 Pr
0.500 0.500 0.000 Pr
0.180 0.025 0.705 Pr
0.680 0.180 0.705 Pr
0.025 0.525 0.705 Pr
0.320 0.820 0.295 Pr
0.975 0.475 0.295 Pr
0.475 0.320 0.295 Pr
0.116 0.384 0.000 Al
0.616 0.116 0.000 Al
0.384 0.884 0.000 Al
0.884 0.616 0.000 Al
0.750 0.750 0.500 In
0.250 0.250 0.500 In
```

no.,calculated total energy (eV per atom)
1,-3.290
2,-4.266
3,-4.206
4,-4.565